Entry 1:
DFT (PBE-GGA) results for a relaxed structure of NpAlGa2Cu4. Values from VASP.

Quantum ESPRESSO input file:
```
&SYSTEM
  ibrav = 0, nat = 8, ntyp = 4
/
ATOMIC_SPECIES
Cu 63.55 Cu.upf
Al 26.98 Al.upf
Ga 69.72 Ga.upf
Np 237.00 Np.upf
CELL_PARAMETERS angstrom
4.1552 0.0000 0.0000
2.0776 3.5985 0.0000
2.0776 1.1995 8.4636
ATOMIC_POSITIONS angstrom
Cu 4.1552 2.3990 1.7722
Al 4.1552 2.3990 4.2318
Cu 2.0776 1.1995 5.1098
Ga 6.2328 3.5985 6.3029
Np 0.0000 0.0000 0.0000
Cu 6.2328 3.5985 3.3538
Cu 4.1552 2.3990 6.6913
Ga 2.0776 1.1995 2.1607
```

Values from the calculation:
- Fermi-level density of states (states/eV/f.u.) = 10.43
- total moment (μB/atom) = 0.5105
- ΔE_f (eV per atom) = -0.0347


Entry 2:
DFT (PBE-GGA) results for a relaxed structure of NpAl3GaCu. Values from VASP.

Quantum ESPRESSO input file:
```
&SYSTEM
  ibrav = 0, nat = 12, ntyp = 4
/
ATOMIC_SPECIES
Al 26.98 Al.upf
Cu 63.55 Cu.upf
Np 237.00 Np.upf
Ga 69.72 Ga.upf
CELL_PARAMETERS angstrom
5.7155 0.0000 0.0000
0.0000 5.9583 0.0000
0.0000 -2.9792 6.5018
ATOMIC_POSITIONS angstrom
Al 2.8577 1.6870 0.0000
Cu 4.2866 0.0000 1.1629
Cu 1.4289 2.9792 5.3389
Al 4.2866 2.9792 4.7761
Np 4.2866 0.0000 3.9216
Ga 4.2866 2.9792 2.0608
Ga 1.4289 0.0000 4.4409
Al 0.0000 1.6870 0.0000
Np 1.4289 2.9792 2.5802
Al 0.0000 4.2713 0.0000
Al 2.8577 4.2713 0.0000
Al 1.4289 0.0000 1.7257
```

Values from the calculation:
- Fermi-level density of states (states/eV/f.u.) = 9.02
- total moment (μB/atom) = 0.7821
- ΔE_f (eV per atom) = 0.0801


Entry 3:
DFT (PBE-GGA) results for a relaxed structure of PaAlGa2Cu4. Values from VASP.

Quantum ESPRESSO input file:
```
&SYSTEM
  ibrav = 0, nat = 8, ntyp = 4
/
ATOMIC_SPECIES
Al 26.98 Al.upf
Pa 231.04 Pa.upf
Cu 63.55 Cu.upf
Ga 69.72 Ga.upf
CELL_PARAMETERS angstrom
4.1703 0.0000 0.0000
2.0852 3.6116 0.0000
2.0852 1.2039 8.2757
ATOMIC_POSITIONS angstrom
Al 4.1703 2.4077 4.1378
Pa 0.0000 0.0000 0.0000
Cu 6.2555 3.6116 3.2464
Cu 4.1703 2.4077 1.6581
Cu 2.0852 1.2039 5.0293
Ga 6.2555 3.6116 6.1489
Ga 2.0852 1.2039 2.1268
Cu 4.1703 2.4077 6.6176
```

Values from the calculation:
- Fermi-level density of states (states/eV/f.u.) = 5.10
- total moment (μB/atom) = 0.0001
- ΔE_f (eV per atom) = -0.1606


Entry 4:
DFT (PBE-GGA) results for a relaxed structure of Pa2AlGa4Cu3. Values from VASP.

Quantum ESPRESSO input file:
```
&SYSTEM
  ibrav = 0, nat = 10, ntyp = 4
/
ATOMIC_SPECIES
Al 26.98 Al.upf
Ga 69.72 Ga.upf
Pa 231.04 Pa.upf
Cu 63.55 Cu.upf
CELL_PARAMETERS angstrom
-3.8353 0.4660 -1.4760
-1.5476 -1.2257 3.6343
-0.0688 9.6625 3.2295
ATOMIC_POSITIONS angstrom
Al -2.7258 4.4514 2.6939
Ga -1.9619 6.4425 1.3374
Ga -2.6914 -0.3798 1.0791
Pa -0.8258 6.6930 4.2590
Cu -0.7826 0.6290 2.2322
Cu -0.0344 4.8312 1.6147
Ga -0.7984 2.8402 2.9712
Pa -1.9344 2.5896 0.0496
Ga 0.0000 0.0000 0.0000
Cu -1.9776 8.6537 2.0764
```

Values from the calculation:
- Fermi-level density of states (states/eV/f.u.) = 6.27
- total moment (μB/atom) = 0.0001
- ΔE_f (eV per atom) = -0.2852